Here is an optimized crystal structure of ScGa8Fe4 from the Alexandria database. Energies are from PBE.

Computed properties:
Theoretical density = 7.3 g cm⁻³
N(E_F) = 8.07 states/eV/f.u.
Spin magnetization = 0.45 μB per atom
Formation energy from the elements = -25.6 kJ/mol of atoms
SG = I4/mmm, No. 139

a = 5.0506 Å, b = 6.5923 Å, c = 6.5923 Å
α = 81.56°, β = 67.48°, γ = 67.48°
Site moments in Bohr magnetons follow the coordinates.
Fractional coordinates of all 13 atoms:
Sc  0.0000  0.0000  0.0000  -0.11
Ga  0.0000  0.3328  0.6672  -0.03
Ga  0.0000  0.6672  0.3328  -0.03
Ga  0.3328  0.6672  0.6672  -0.03
Ga  0.6672  0.3328  0.3328  -0.03
Ga  0.5000  0.7821  0.2179  -0.05
Ga  0.5000  0.2179  0.7821  -0.05
Ga  0.2821  0.2179  0.2179  -0.05
Ga  0.7179  0.7821  0.7821  -0.05
Fe  0.0000  0.0000  0.5000  1.59
Fe  0.5000  0.0000  0.5000  1.59
Fe  0.0000  0.5000  0.0000  1.59
Fe  0.5000  0.5000  0.0000  1.59



Here is an optimized crystal structure of Dy2Ho4Zr from the Alexandria database. Energies are from PBE.

Computed properties:
Theoretical density = 8.6 g cm⁻³
N(E_F) = 9.14 states/eV/f.u.
Spin magnetization = 0.00 μB per atom
Formation energy from the elements = 3.5 kJ/mol of atoms
SG = Cm, No. 8

a = 3.5053 Å, b = 3.5053 Å, c = 19.6204 Å
α = 90.00°, β = 90.00°, γ = 120.00°
Fractional coordinates of all 7 atoms:
Dy  0.7149  0.4298  0.0943
Dy  0.7134  0.4269  0.3849
Ho  0.0487  0.0975  0.9493
Ho  0.3807  0.7614  0.5341
Ho  0.0473  0.0947  0.2401
Ho  0.3817  0.7635  0.7994
Zr  0.7145  0.4291  0.6658



Here is an optimized crystal structure of Ba3Ga5Cl12 from the Alexandria database. Energies are from PBE.

Computed properties:
Theoretical density = 2.9 g cm⁻³
Formation energy (no corrections) = -1.463 eV per atom
N(E_F) = 15.64 states/eV/f.u.
Spin magnetization = 0.00 μB per atom
SG = Ia-3d, No. 230

a = 15.1403 Å, b = 15.1403 Å, c = 15.1403 Å
α = 109.47°, β = 109.47°, γ = 109.47°
Fractional coordinates of all 80 atoms:
Ba  0.7500  0.3750  0.1250
Ba  0.8750  0.7500  0.1250
Ba  0.3750  0.7500  0.6250
Ba  0.2500  0.1250  0.3750
Ba  0.8750  0.1250  0.2500
Ba  0.3750  0.6250  0.2500
Ba  0.6250  0.3750  0.7500
Ba  0.1250  0.8750  0.7500
Ba  0.7500  0.8750  0.6250
Ba  0.6250  0.2500  0.3750
Ba  0.1250  0.2500  0.8750
Ba  0.2500  0.6250  0.8750
Ga  0.1250  0.3750  0.2500
Ga  0.0000  0.5000  0.0000
Ga  0.0000  0.0000  0.0000
Ga  0.3750  0.2500  0.1250
Ga  0.5000  0.0000  0.5000
Ga  0.5000  0.5000  0.0000
Ga  0.1250  0.7500  0.3750
Ga  0.7500  0.1250  0.8750
Ga  0.7500  0.6250  0.3750
Ga  0.3750  0.1250  0.7500
Ga  0.6250  0.8750  0.2500
Ga  0.5000  0.5000  0.5000
Ga  0.5000  0.0000  0.0000
Ga  0.0000  0.0000  0.5000
Ga  0.2500  0.3750  0.6250
Ga  0.2500  0.8750  0.1250
Ga  0.0000  0.5000  0.5000
Ga  0.8750  0.2500  0.6250
Ga  0.6250  0.7500  0.8750
Ga  0.8750  0.6250  0.7500
Cl  0.7217  0.1343  0.0451
Cl  0.3234  0.5451  0.4108
Cl  0.9549  0.3657  0.2783
Cl  0.5451  0.2217  0.1343
Cl  0.5874  0.7217  0.6766
Cl  0.9549  0.5892  0.1766
Cl  0.3234  0.7783  0.4126
Cl  0.0892  0.9126  0.1343
Cl  0.5892  0.9549  0.6766
Cl  0.7217  0.5874  0.1766
Cl  0.7783  0.4549  0.3657
Cl  0.8234  0.9108  0.0451
Cl  0.1343  0.7217  0.5451
Cl  0.3657  0.4108  0.0874
Cl  0.0874  0.9108  0.3657
Cl  0.4126  0.1343  0.5892
Cl  0.0874  0.1766  0.2217
Cl  0.4549  0.6766  0.0892
Cl  0.8234  0.9126  0.2783
Cl  0.1343  0.4126  0.0892
Cl  0.3657  0.9549  0.7783
Cl  0.5892  0.6343  0.4126
Cl  0.9108  0.8234  0.5451
Cl  0.7783  0.3234  0.9126
Cl  0.4108  0.3657  0.5874
Cl  0.0892  0.1766  0.4549
Cl  0.2217  0.6766  0.0874
Cl  0.1766  0.0874  0.7217
Cl  0.6343  0.0451  0.2217
Cl  0.8657  0.5874  0.9108
Cl  0.5451  0.3234  0.9108
Cl  0.5874  0.8657  0.4108
Cl  0.9126  0.8234  0.7783
Cl  0.9126  0.0892  0.6343
Cl  0.8657  0.2783  0.4549
Cl  0.1766  0.0892  0.9549
Cl  0.6343  0.5892  0.9126
Cl  0.4108  0.0451  0.3234
Cl  0.2783  0.4126  0.8234
Cl  0.2217  0.5451  0.6343
Cl  0.9108  0.0874  0.8657
Cl  0.6766  0.2217  0.5874
Cl  0.4549  0.7783  0.8657
Cl  0.0451  0.4108  0.8234
Cl  0.4126  0.2783  0.3234
Cl  0.0451  0.6343  0.7217
Cl  0.6766  0.4549  0.5892
Cl  0.2783  0.8657  0.9549



Here is an optimized crystal structure of Ru2PbC2 from the Alexandria database. Energies are from PBE.

Computed properties:
Theoretical density = 9.4 g cm⁻³
E above lowest polymorph = 469.7 meV per atom
N(E_F) = 3.78 states/eV/f.u.
Spin magnetization = 0.00 μB per atom
Formation energy from the elements = 125.2 kJ/mol of atoms
SG = P4/mbm, No. 127

a = 7.1001 Å, b = 7.1001 Å, c = 3.0350 Å
α = 90.00°, β = 90.00°, γ = 90.00°
Fractional coordinates of all 10 atoms:
Pb  0.0000  0.0000  0.0000
Pb  0.5000  0.5000  0.0000
Ru  0.3715  0.8715  0.0000
Ru  0.8715  0.6285  0.0000
Ru  0.6285  0.1285  0.0000
Ru  0.1285  0.3715  0.0000
C  0.0750  0.5750  0.5000
C  0.5750  0.9250  0.5000
C  0.9250  0.4250  0.5000
C  0.4250  0.0750  0.5000



Here is an optimized crystal structure of TmCuSi from the Alexandria database. Energies are from PBE.

Computed properties:
Theoretical density = 8.1 g cm⁻³
Formation energy (no corrections) = -0.644 eV per atom
N(E_F) = 0.93 states/eV/f.u.
Spin magnetization = 0.00 μB per atom
SG = P-6m2, No. 187

a = 3.6500 Å, b = 4.1145 Å, c = 4.1145 Å
α = 120.00°, β = 90.00°, γ = 90.00°
Fractional coordinates of all 3 atoms:
Si  0.1667  0.3333  0.6667
Tm  0.6667  0.6667  0.3333
Cu  0.1667  0.0000  0.0000



Here is an optimized crystal structure of Ac2Ce2Tl5 from the Alexandria database. Energies are from PBE.

Computed properties:
Theoretical density = 9.9 g cm⁻³
N(E_F) = 14.53 states/eV/f.u.
Spin magnetization = 0.17 μB per atom
Formation energy from the elements = -20.8 kJ/mol of atoms
SG = Cmce, No. 64

a = 8.4189 Å, b = 8.4217 Å, c = 9.3223 Å
α = 116.85°, β = 90.00°, γ = 90.00°
Site moments in Bohr magnetons follow the coordinates.
Fractional coordinates of all 18 atoms:
Ac  0.0000  0.2174  0.4348  0.00
Ac  0.5000  0.7174  0.4348  0.00
Ac  0.0000  0.7826  0.5652  0.00
Ac  0.5000  0.2826  0.5652  0.00
Ce  0.6145  0.8864  0.0000  0.67
Ce  0.3855  0.1136  0.0000  0.67
Ce  0.1145  0.6136  0.0000  0.67
Ce  0.8855  0.3864  0.0000  0.67
Tl  0.0000  0.0000  0.0000  0.00
Tl  0.5000  0.5000  0.0000  0.00
Tl  0.8165  0.8100  0.2520  0.01
Tl  0.1835  0.4420  0.2520  0.01
Tl  0.3165  0.9420  0.2520  0.01
Tl  0.6835  0.3100  0.2520  0.01
Tl  0.1835  0.1900  0.7480  0.01
Tl  0.8165  0.5580  0.7480  0.01
Tl  0.6835  0.0580  0.7480  0.01
Tl  0.3165  0.6900  0.7480  0.01



Here is an optimized crystal structure of YPuCd4 from the Alexandria database. Energies are from PBE.

Computed properties:
Theoretical density = 7.9 g cm⁻³
E above lowest polymorph = 140.9 meV per atom
N(E_F) = 14.33 states/eV/f.u.
Spin magnetization = 1.08 μB per atom
Formation energy from the elements = 0.4 kJ/mol of atoms
SG = I-4m2, No. 119

a = 4.2078 Å, b = 4.2078 Å, c = 9.7152 Å
α = 102.51°, β = 102.51°, γ = 90.00°
Site moments in Bohr magnetons follow the coordinates.
Fractional coordinates of all 6 atoms:
Y  0.2500  0.7500  0.5000  0.06
Pu  0.0000  0.0000  0.0000  5.61
Cd  0.6738  0.1738  0.3476  0.01
Cd  0.5783  0.5783  0.1565  0.03
Cd  0.8262  0.3262  0.6524  0.01
Cd  0.4217  0.4217  0.8435  0.03



Here is an optimized crystal structure of MnTeSe2 from the Alexandria database. Energies are from PBE.

Computed properties:
Theoretical density = 4.9 g cm⁻³
Formation energy (no corrections) = 0.132 eV per atom
N(E_F) = 2.08 states/eV/f.u.
Spin magnetization = 1.21 μB per atom
SG = Pmmm, No. 47

a = 3.7800 Å, b = 7.8461 Å, c = 3.9260 Å
α = 90.00°, β = 90.00°, γ = 90.00°
Site moments in Bohr magnetons follow the coordinates.
Fractional coordinates of all 4 atoms:
Mn  0.0000  0.5000  0.5000  4.34
Se  0.0000  0.0000  0.0000  0.00
Se  0.5000  0.5000  0.0000  0.07
Te  0.5000  0.0000  0.5000  0.00